1.
Here is a relaxed structure of TlHgClO from Alexandria. Energies are from GGA-PBE.

a b c (Å): 3.9585 3.9585 8.5641
angles (deg): 103.63 103.63 58.17
With the nearest neighbours (Å) after each atom.
Element x y z (fractional)
Tl: 0.0000 0.0000 0.0000  3 O 2.56
Hg: 0.4752 0.4752 0.6116  1 O 2.06
Cl: 0.7902 0.7902 0.4158  2 Hg 2.64
O: 0.6243 0.6243 0.8547  1 Hg 2.06

## Properties
Calculated density: 6.90 g/cm3
DFT total energy: -2.848 eV/atom
Total magnetization: 0.00 μB per formula unit

***

2.
Here is a relaxed structure of Ba2SrEr3O8 from Alexandria. Energies are from GGA-PBE.

a b c (Å): 7.3432 7.3432 7.3432
angles (deg): 57.02 57.02 57.02
With the nearest neighbours (Å) after each atom.
Element x y z (fractional)
Ba: 0.0000 0.0000 0.0000  6 O 2.61
Ba: 0.3754 0.3754 0.3754  4 O 2.51-2.67
Sr: 0.6192 0.6192 0.6192  3 O 2.40
Er: 0.0000 0.0000 0.5012  6 O 2.26-2.36
Er: 0.0000 0.5012 0.0000  6 O 2.26-2.36
Er: 0.5012 0.0000 0.0000  6 O 2.26-2.36
O: 0.2039 0.7475 0.7475  2 Er 2.29, 1 Sr 2.40
O: 0.2303 0.2303 0.2303  3 Er 2.34
O: 0.2507 0.2507 0.8069  2 Er 2.26, 1 Ba 2.51
O: 0.2507 0.8069 0.2507  2 Er 2.26, 1 Ba 2.51
O: 0.7475 0.2039 0.7475  2 Er 2.29, 1 Sr 2.40
O: 0.7475 0.7475 0.2039  2 Er 2.29, 1 Sr 2.40
O: 0.7671 0.7671 0.7671  3 Er 2.36
O: 0.8069 0.2507 0.2507  2 Er 2.26, 1 Ba 2.51

## Properties
Calculated density: 6.32 g/cm3
DFT total energy: -7.176 eV/atom
Total magnetization: 1.07 μB per formula unit
N(E_F): 10.284 states/eV/f.u.

***

3.
Here is a relaxed structure of Na2MgP2O7 from Alexandria. Energies are from GGA-PBE.

a b c (Å): 7.2786 7.2786 7.2786
angles (deg): 43.34 43.34 43.34
With the nearest neighbours (Å) after each atom.
Element x y z (fractional)
Na: 0.2369 0.2369 0.2369  3 O 2.44
Na: 0.7631 0.7631 0.7631  3 O 2.44
Mg: 0.5000 0.5000 0.5000  6 O 2.10
P: 0.0810 0.0810 0.0810  4 O 1.53-1.60
P: 0.9190 0.9190 0.9190  4 O 1.53-1.60
O: 0.0000 0.0000 0.0000  2 P 1.60
O: 0.2077 0.6952 0.7891  1 P 1.53
O: 0.2109 0.3048 0.7923  1 P 1.53
O: 0.3048 0.7923 0.2109  1 P 1.53
O: 0.6952 0.7891 0.2077  1 P 1.53
O: 0.7891 0.2077 0.6952  1 P 1.53
O: 0.7923 0.2109 0.3048  1 P 1.53

## Properties
Calculated density: 2.46 g/cm3
DFT total energy: -6.465 eV/atom
Total magnetization: 0.00 μB per formula unit
N(E_F): 0.000 states/eV/f.u.

***

4.
Here is a relaxed structure of Ca2ReHBr from Alexandria. Energies are from GGA-PBE.

a b c (Å): 5.6499 5.6499 4.4821
angles (deg): 90.00 90.00 90.00
With the nearest neighbours (Å) after each atom.
Element x y z (fractional)
Ca: 0.0000 0.5000 0.0000  2 Br 2.82
Ca: 0.5000 0.0000 0.0000  2 Br 2.82
Re: 0.0000 0.0000 0.5000  2 Br 2.24
H: 0.5000 0.5000 0.5000  8 Ca 3.61, 4 Re 4.00
Br: 0.0000 0.0000 0.0000  2 Re 2.24

## Properties
Calculated density: 4.03 g/cm3
DFT total energy: -3.335 eV/atom
Total magnetization: 0.12 μB per formula unit
N(E_F): 3.043 states/eV/f.u.

***

5.
Here is a relaxed structure of NdGdAgOs from Alexandria. Energies are from GGA-PBE.

a b c (Å): 5.0543 5.0543 5.0543
angles (deg): 60.00 60.00 60.00
With the nearest neighbours (Å) after each atom.
Element x y z (fractional)
Nd: 0.0000 0.0000 0.0000  4 Os 3.10, 4 Ag 3.10
Gd: 0.5000 0.5000 0.5000  4 Os 3.10, 4 Ag 3.10
Ag: 0.7500 0.7500 0.7500  4 Gd 3.10, 4 Nd 3.10
Os: 0.2500 0.2500 0.2500  4 Gd 3.10, 4 Nd 3.10

## Properties
Calculated density: 10.91 g/cm3
DFT total energy: -8.382 eV/atom
Total magnetization: 7.20 μB per formula unit
N(E_F): 2.567 states/eV/f.u.
ΔH_f (0 K): -150 meV/atom

***

6.
Here is a relaxed structure of SiMoPCl2 from Alexandria. Energies are from GGA-PBE.

a b c (Å): 4.8069 4.8069 4.8432
angles (deg): 90.00 90.00 90.00
With the nearest neighbours (Å) after each atom.
Element x y z (fractional)
Si: 0.0000 0.0000 0.0000  4 P 3.40, 8 Cl 3.41
Mo: 0.5000 0.5000 0.5000  4 Cl 2.40, 2 P 2.42
P: 0.5000 0.5000 0.0000  2 Mo 2.42
Cl: 0.0000 0.5000 0.5000  2 Mo 2.40
Cl: 0.5000 0.0000 0.5000  2 Mo 2.40

## Properties
Calculated density: 3.35 g/cm3
DFT total energy: -4.570 eV/atom
Total magnetization: 2.30 μB per formula unit
N(E_F): 4.581 states/eV/f.u.

***

7.
Here is a relaxed structure of Mg5Rh2Au from Alexandria. Energies are from GGA-PBE.

a b c (Å): 5.6382 11.0919 4.3721
angles (deg): 90.00 90.00 90.00
With the nearest neighbours (Å) after each atom.
Element x y z (fractional)
Mg: 0.0000 0.0000 0.0000  2 Au 2.82, 4 Rh 2.84, 6 Mg 2.95-3.07
Mg: 0.0964 0.2613 0.0000  1 Au 2.70, 4 Rh 2.78-2.98, 5 Mg 2.83-3.01
Mg: 0.1857 0.6110 0.5000  2 Au 2.72, 4 Rh 2.75-2.92, 2 Mg 3.01
Mg: 0.3143 0.1110 0.5000  2 Au 2.72, 4 Rh 2.75-2.92, 2 Mg 3.01
Mg: 0.4036 0.7613 0.0000  1 Au 2.70, 4 Rh 2.78-2.98, 5 Mg 2.83-3.01
Mg: 0.5000 0.5000 0.0000  2 Au 2.82, 4 Rh 2.84, 6 Mg 2.95-3.07
Mg: 0.5964 0.2387 0.0000  1 Au 2.70, 4 Rh 2.78-2.98, 5 Mg 2.83-3.01
Mg: 0.6857 0.8890 0.5000  2 Au 2.72, 4 Rh 2.75-2.92, 2 Mg 3.01
Mg: 0.8143 0.3890 0.5000  2 Au 2.72, 4 Rh 2.75-2.92, 2 Mg 3.01
Mg: 0.9036 0.7387 0.0000  1 Au 2.70, 4 Rh 2.78-2.98, 5 Mg 2.83-3.01
Rh: 0.1703 0.8609 0.5000  10 Mg 2.75-2.98
Rh: 0.3297 0.3609 0.5000  10 Mg 2.75-2.98
Rh: 0.6703 0.6391 0.5000  10 Mg 2.75-2.98
Rh: 0.8297 0.1391 0.5000  10 Mg 2.75-2.98
Au: 0.0000 0.5000 0.0000  8 Mg 2.70-2.82
Au: 0.5000 0.0000 0.0000  8 Mg 2.70-2.82

## Properties
Calculated density: 6.37 g/cm3
DFT total energy: -3.679 eV/atom
Total magnetization: 0.00 μB per formula unit
N(E_F): 4.228 states/eV/f.u.
ΔH_f (0 K): -434 meV/atom

***

8.
Here is a relaxed structure of ZrCdRh from Alexandria. Energies are from GGA-PBE.

a b c (Å): 4.5711 4.5711 4.5711
angles (deg): 60.00 60.00 60.00
With the nearest neighbours (Å) after each atom.
Element x y z (fractional)
Zr: 0.0000 0.0000 0.0000  4 Rh 2.80, 4 Cd 2.80
Cd: 0.2500 0.2500 0.2500  4 Zr 2.80
Rh: 0.7500 0.7500 0.7500  4 Zr 2.80

## Properties
Calculated density: 7.54 g/cm3
DFT total energy: -5.398 eV/atom
Total magnetization: 0.00 μB per formula unit
N(E_F): 3.238 states/eV/f.u.
ΔH_f (0 K): 207 meV/atom